1.
! K3NpH2O6 meta-GGA SCAN PBEsol geometry; values from VASP
&SYSTEM
  ibrav = 0, nat = 48, ntyp = 4
/
ATOMIC_SPECIES
O 16.00 O.upf
K 39.10 K.upf
H 1.01 H.upf
Np 237.00 Np.upf
ATOMIC_POSITIONS crystal
O 0.1078 0.6510 0.9065
O 0.1078 0.8490 0.5935
O 0.7757 0.1232 0.9445
K 0.3966 0.7500 0.2500
O 0.6078 0.6510 0.5935
H 0.2990 0.2886 0.9879
K 0.4926 0.9144 0.6578
K 0.4926 0.5856 0.8422
Np 0.5000 0.0000 0.0000
K 0.5074 0.4144 0.1578
Np 0.0000 0.0000 0.5000
K 0.8966 0.7500 0.2500
O 0.1409 0.5592 0.1443
O 0.7243 0.6232 0.0555
O 0.8922 0.1510 0.4065
O 0.6409 0.5592 0.3557
O 0.3922 0.1510 0.0935
K 0.9926 0.9144 0.8422
H 0.7990 0.2114 0.9879
O 0.2757 0.3768 0.9445
K 0.1034 0.2500 0.7500
Np 0.0000 0.5000 0.0000
H 0.7990 0.2886 0.5121
H 0.2010 0.7886 0.0121
O 0.1409 0.9408 0.3557
O 0.2757 0.1232 0.5555
O 0.8591 0.4408 0.8557
H 0.2010 0.7114 0.4879
O 0.8922 0.3490 0.0935
O 0.2243 0.6232 0.4445
H 0.2990 0.2114 0.5121
O 0.7757 0.3768 0.5555
H 0.7010 0.7886 0.4879
O 0.3591 0.0592 0.8557
K 0.0074 0.0856 0.1578
O 0.7243 0.8768 0.4445
H 0.7010 0.7114 0.0121
K 0.5074 0.0856 0.3422
O 0.6409 0.9408 0.1443
O 0.3591 0.4408 0.6443
O 0.3922 0.3490 0.4065
O 0.8591 0.0592 0.6443
O 0.2243 0.8768 0.0555
K 0.6034 0.2500 0.7500
Np 0.5000 0.5000 0.5000
K 0.0074 0.4144 0.3422
O 0.6078 0.8490 0.9065
K 0.9926 0.5856 0.6578
CELL_PARAMETERS angstrom
6.6210 0.0000 0.0000
0.0000 9.7668 0.0000
0.0000 0.0000 10.8812
! E_tot: -16.82 eV/atom
! Crystal system: orthorhombic

=====

2.
! AlZn2Cu meta-GGA SCAN PBEsol geometry; values from VASP
&SYSTEM
  ibrav = 0, nat = 4, ntyp = 3
/
ATOMIC_SPECIES
Al 26.98 Al.upf
Cu 63.55 Cu.upf
Zn 65.41 Zn.upf
ATOMIC_POSITIONS crystal
Al 0.0000 0.0000 0.5115
Cu 0.5000 0.5000 0.7465
Zn 0.5000 0.5000 0.2438
Zn 0.0000 0.0000 0.9983
CELL_PARAMETERS angstrom
3.2250 0.0000 0.0000
0.0000 3.2250 0.0000
0.0000 0.0000 5.2565
! Energy of formation: -0.075 eV/atom
! E_tot: -12.57 eV/atom
! Crystal system: tetragonal

=====

3.
! AlCr5 meta-GGA SCAN PBEsol geometry; values from VASP
&SYSTEM
  ibrav = 0, nat = 6, ntyp = 2
/
ATOMIC_SPECIES
Cr 52.00 Cr.upf
Al 26.98 Al.upf
ATOMIC_POSITIONS crystal
Cr 0.0000 0.0000 0.5000
Cr 0.5000 0.5000 0.3348
Al 0.5000 0.5000 0.0000
Cr 0.0000 0.0000 0.1851
Cr 0.5000 0.5000 0.6652
Cr 0.0000 0.0000 0.8149
CELL_PARAMETERS angstrom
-2.2853 -1.7019 0.3245
1.7162 -2.2974 0.0371
0.7186 0.6759 8.6055
! Energy of formation: -0.226 eV/atom
! Energy above the lowest structure with this stoichiometry: 0.0 meV/atom
! E_tot: -16.84 eV/atom
! Crystal system: tetragonal

=====

4.
! ZrIrBr2 meta-GGA SCAN PBEsol geometry; values from VASP
&SYSTEM
  ibrav = 0, nat = 4, ntyp = 3
/
ATOMIC_SPECIES
Ir 192.22 Ir.upf
Zr 91.22 Zr.upf
Br 79.90 Br.upf
ATOMIC_POSITIONS crystal
Ir 0.0000 0.5000 0.0000
Zr 0.5000 0.0000 0.0000
Br 0.5000 0.5000 0.5000
Br 0.0000 0.0000 0.5000
CELL_PARAMETERS angstrom
4.2146 -0.0062 0.0000
-0.0732 4.2691 0.0000
-2.0707 -2.1314 4.4535
! Energy above the lowest structure with this stoichiometry: 527.3 meV/atom
! E_tot: -35.17 eV/atom
! Crystal system: monoclinic

=====

5.
! GaFe2GeAu meta-GGA SCAN PBEsol geometry; values from VASP
&SYSTEM
  ibrav = 0, nat = 5, ntyp = 4
/
ATOMIC_SPECIES
Ge 72.64 Ge.upf
Fe 55.84 Fe.upf
Ga 69.72 Ga.upf
Au 196.97 Au.upf
ATOMIC_POSITIONS crystal
Ge 0.5000 0.5000 0.5000
Fe 0.5000 0.0000 0.0000
Ga 0.0000 0.0000 0.0000
Fe 0.0000 0.5000 0.0000
Au 0.0000 0.0000 0.5000
CELL_PARAMETERS angstrom
-2.0873 -2.9177 2.6146
1.9076 -3.3445 -2.2094
3.5861 0.0887 2.9618
! Energy of formation: 0.812 eV/atom
! E_tot: -27.36 eV/atom
! Crystal system: tetragonal

=====

6.
! SbPAu meta-GGA SCAN PBEsol geometry; values from VASP
&SYSTEM
  ibrav = 0, nat = 3, ntyp = 3
/
ATOMIC_SPECIES
P 30.97 P.upf
Au 196.97 Au.upf
Sb 121.76 Sb.upf
ATOMIC_POSITIONS crystal
P 0.2500 0.2500 0.2500
Au 0.5000 0.5000 0.5000
Sb 0.0000 0.0000 0.0000
CELL_PARAMETERS angstrom
-0.8494 2.4903 3.6688
-2.5835 -1.6625 3.3083
1.8499 -1.1166 3.9642
! E_tot: -38.51 eV/atom
! Crystal system: cubic

=====

7.
! LaRh meta-GGA SCAN PBEsol geometry; values from VASP
&SYSTEM
  ibrav = 0, nat = 4, ntyp = 2
/
ATOMIC_SPECIES
La 138.91 La.upf
Rh 102.91 Rh.upf
ATOMIC_POSITIONS crystal
La 0.1140 0.8640 0.2279
La 0.8860 0.1360 0.7721
Rh 0.6636 0.4136 0.3272
Rh 0.3364 0.5864 0.6728
CELL_PARAMETERS angstrom
3.6987 0.0000 0.0000
0.0000 4.0796 0.0000
-1.8494 -2.0398 5.9812
! Energy of formation: -0.630 eV/atom
! E_tot: -39.07 eV/atom
! Crystal system: orthorhombic

=====

8.
! BaCo2Te2 meta-GGA SCAN PBEsol geometry; values from VASP
&SYSTEM
  ibrav = 0, nat = 5, ntyp = 3
/
ATOMIC_SPECIES
Te 127.60 Te.upf
Co 58.93 Co.upf
Ba 137.33 Ba.upf
ATOMIC_POSITIONS crystal
Te 0.3541 0.3541 0.7081
Co 0.7500 0.2500 0.5000
Co 0.2500 0.7500 0.5000
Ba 0.0000 0.0000 0.0000
Te 0.6459 0.6459 0.2919
CELL_PARAMETERS angstrom
-1.5583 3.7914 0.8266
-2.8838 -0.5355 -2.9805
-1.7742 -4.2141 5.4071
! Energy above the lowest structure with this stoichiometry: 0.0 meV/atom
! E_tot: -30.21 eV/atom
! Crystal system: tetragonal